A plane-wave DFT calculation with PBE was carried out for crystalline LiCdNiGe at its relaxed geometry.

Summary:
V   59.2 Å³ per cell
E_tot   -3.44 eV/atom

Cell: 4.374 4.374 4.374 Å, 60.00 60.00 60.00°
Sites, in units of the cell vectors:
Ni  0.750  0.750  0.750
Cd  0.500  0.500  0.500
Ge  0.000  0.000  0.000
Li  0.250  0.250  0.250